Entry from the Alexandria database: a relaxed structure of ZrOs3O (PBE).

Properties
**Raw total energy**: -9.15 eV/atom
**SG**: Pm-3m

Lattice parameters (Å, degrees): 4.159 4.159 4.159 90.00 90.00 90.00
Fractional positions:
Zr (0.000, 0.000, 0.000)
Os (0.000, 0.500, 0.500)
Os (0.500, 0.000, 0.500)
Os (0.500, 0.500, 0.000)
O (0.500, 0.500, 0.500)